Record 1
Rb3BeH5: optimized geometry, PBE-GGA.

Lattice parameters (Å, degrees): 7.7405 7.7405 11.2256 90.00 90.00 90.00
Last column: nearest neighbours and their distance in Å.
Space group I4/mcm (No. 140)
Asymmetric unit:
Rb 0.0000 0.0000 0.2500 (multiplicity 4)  2 H 2.81
Rb 0.1770 0.3230 0.0000 (multiplicity 8)  8 H 2.85-3.04
Be 0.0000 0.5000 0.2500 (multiplicity 4)  4 H 1.47
H 0.0000 0.0000 0.0000 (multiplicity 4)  6 Rb 2.81-2.85
H 0.1094 0.3906 0.3266 (multiplicity 16)  1 Be 1.47

## Properties
As for the size of the total moment: 0.00 μB per cell. The value obtained for the total energy is -2.861 eV per atom. The density of states at the Fermi level comes out at 0.0 states/eV/cell.

Record 2
Rb2BeH4: optimized geometry, PBE-GGA.

Lattice parameters (Å, degrees): 5.8655 5.7075 8.2092 90.00 101.23 90.00
Last column: nearest neighbours and their distance in Å.
Space group P2_1/m (No. 11)
Asymmetric unit:
Rb 0.2268 0.2500 0.0293 (multiplicity 2)  9 H 2.81-3.06
Rb 0.2635 0.2500 0.5425 (multiplicity 2)  7 H 2.79-3.07
Be 0.1941 0.7500 0.7719 (multiplicity 2)  4 H 1.46-1.47
H 0.0438 0.5450 0.7354 (multiplicity 4)  1 Be 1.46
H 0.2893 0.7500 0.9501 (multiplicity 2)  1 Be 1.46
H 0.3767 0.7500 0.6713 (multiplicity 2)  1 Be 1.47

## Properties
As for the size of the total moment: 0.00 μB per cell. The value obtained for the total energy is -3.010 eV per atom. The density of states at the Fermi level comes out at 0.0 states/eV/cell.

Record 3
RbBe2H4: optimized geometry, PBE-GGA.

Lattice parameters (Å, degrees): 4.7920 4.7920 10.3148 90.00 90.00 90.00
Last column: nearest neighbours and their distance in Å.
Space group I4/mmm (No. 139)
Asymmetric unit:
Rb 0.0000 0.0000 0.0000 (multiplicity 2)  4 H 2.40
Be 0.0000 0.0000 0.4014 (multiplicity 4)  1 H 1.35
H 0.0000 0.0000 0.2709 (multiplicity 4)  1 Be 1.35
H 0.0000 0.5000 0.0000 (multiplicity 4)  2 Rb 2.40, 4 Be 2.60

## Properties
As for the size of the total moment: 0.00 μB per cell. The value obtained for the total energy is -2.505 eV per atom. The density of states at the Fermi level comes out at 4.7 states/eV/cell.

Record 4
Rb4BeH6: optimized geometry, PBE-GGA.

Lattice parameters (Å, degrees): 13.4605 5.9069 13.9529 90.00 111.88 90.00
Last column: nearest neighbours and their distance in Å.
Space group Cc (No. 9)
Asymmetric unit:
Rb 0.0000 0.2172 0.0000 (multiplicity 4)  5 H 2.76-3.04
Rb 0.1733 0.2334 0.3742 (multiplicity 4)  6 H 2.72-2.99
Rb 0.2902 0.2736 0.7403 (multiplicity 4)  6 H 2.88-3.21
Rb 0.4418 0.2249 0.1781 (multiplicity 4)  3 H 2.66-2.97
Be 0.2253 0.2810 0.9790 (multiplicity 4)  4 H 1.46-1.48
H 0.1411 0.2662 0.8742 (multiplicity 4)  1 Be 1.48
H 0.1985 0.4664 0.0359 (multiplicity 4)  1 Be 1.47
H 0.2270 0.0717 0.0359 (multiplicity 4)  1 Be 1.46
H 0.3285 0.3241 0.9680 (multiplicity 4)  1 Be 1.48
H 0.3400 0.2163 0.3089 (multiplicity 4)  3 Rb 2.66-2.76
H 0.4831 0.2733 0.6961 (multiplicity 4)  5 Rb 2.83-3.01

## Properties
As for the size of the total moment: 0.00 μB per cell. The value obtained for the total energy is -2.722 eV per atom. The density of states at the Fermi level comes out at 0.0 states/eV/cell.

Question: Which value of size of the total moment does entry 3 give?
Answer: 0.00 μB per cell

Question: Which formula does entry 1 have?
Answer: Rb3BeH5

Question: Number 4 is which compound?
Answer: Rb4BeH6